Record 1
## KTe2PtN (PBE)

Data for crystalline KTe2PtN at its relaxed geometry.

ΔE to the lowest computed polymorph   0 meV/atom
M_tot   0.00 μB/cell
E_form (uncorrected)   0.08 eV per atom
Space-group type   P4/mmm (123)
Raw total energy   -4.272 eV per atom

Cell: 6.0018 6.0018 3.6697 Å, 90.00 90.00 90.00°
Element x y z (fractional)
K1 0.5000 0.5000 0.5000
Te1 0.0000 0.5000 0.0000
Te2 0.5000 0.0000 0.0000
Pt1 0.0000 0.0000 0.0000
N1 0.0000 0.0000 0.5000



Record 2
## AcGa2Ir (PBE)

Data for crystalline AcGa2Ir at its relaxed geometry.

ΔE to the lowest computed polymorph   0 meV/atom
M_tot   0.00 μB/cell
ΔE_f   -648 meV/atom
Space-group type   P6_3/mmc (194)
Raw total energy   -5.404 eV per atom

Cell: 4.3126 4.3126 11.1119 Å, 90.00 90.00 120.00°
Element x y z (fractional)
Ac1 0.3333 0.6667 0.2500
Ac2 0.6667 0.3333 0.7500
Ga1 0.6667 0.3333 0.0631
Ga2 0.3333 0.6667 0.5631
Ga3 0.6667 0.3333 0.4369
Ga4 0.3333 0.6667 0.9369
Ir1 0.0000 0.0000 0.0000
Ir2 0.0000 0.0000 0.5000